Density functional theory data (GGA-PBE) for a geometry-optimized CrFe2Ni structure.

```
4
Lattice="0.000 2.818 2.818 2.818 0.000 2.818 2.818 2.818 0.000" Properties=species:S:1:pos:R:3 pbc="T T T"
Cr 0.000 0.000 0.000
Ni 2.818 2.818 2.818
Fe 4.228 4.228 4.228
Fe 1.409 1.409 1.409
```

Space group   Fm-3m (225)
Density of states at the Fermi level   6.786 states/eV/f.u.
ΔE_f   0.156 eV/atom
Calculated density   8.25 g cm⁻³
Size of the total moment   2.597 μB per formula unit